No. 1
VASP calculation (PBE) on PuSe2Cl2 after structural relaxation.

Lattice parameters (Å, degrees): 7.127 7.125 7.611 93.68 62.08 97.89
Positions (direct):
Pu (0.164, 0.500, 0.671)
Pu (0.836, 0.500, 0.329)
Se (0.960, 0.204, 0.000)
Se (0.040, 0.796, 0.000)
Se (0.754, 0.600, 0.000)
Se (0.246, 0.400, 0.000)
Cl (0.879, 0.271, 0.576)
Cl (0.545, 0.729, 0.576)
Cl (0.121, 0.729, 0.424)
Cl (0.455, 0.271, 0.424)

Output
- total moment (μB/atom) = 0.95
- total DFT energy (no corrections) (eV/cell) = -62.60
- space group = No. 12



No. 2
VASP calculation (PBE) on PuSeCl2 after structural relaxation.

Lattice parameters (Å, degrees): 6.461 7.141 11.990 90.00 90.00 90.00
Positions (direct):
Pu (0.000, 0.250, 0.586)
Pu (0.000, 0.750, 0.414)
Pu (0.500, 0.250, 0.914)
Pu (0.500, 0.750, 0.086)
Se (0.250, 0.614, 0.250)
Se (0.750, 0.386, 0.750)
Se (0.750, 0.886, 0.250)
Se (0.250, 0.114, 0.750)
Cl (0.724, 0.930, 0.929)
Cl (0.276, 0.070, 0.071)
Cl (0.224, 0.570, 0.571)
Cl (0.776, 0.430, 0.429)
Cl (0.724, 0.430, 0.071)
Cl (0.276, 0.570, 0.929)
Cl (0.224, 0.070, 0.429)
Cl (0.776, 0.930, 0.571)

Output
- total moment (μB/atom) = 1.00
- total DFT energy (no corrections) (eV/cell) = -109.07
- space group = No. 52



No. 3
VASP calculation (PBE) on Pu2Se2Cl after structural relaxation.

Lattice parameters (Å, degrees): 4.137 4.137 9.041 103.23 103.23 90.00
Positions (direct):
Pu (0.842, 0.842, 0.683)
Pu (0.158, 0.158, 0.317)
Se (0.668, 0.668, 0.337)
Se (0.332, 0.332, 0.663)
Cl (0.000, 0.000, 0.000)

Output
- total moment (μB/atom) = 2.20
- relative energy among the computed polymorphs (meV/atom) = 0
- space group = No. 139



No. 4
VASP calculation (PBE) on Pu4SeCl5 after structural relaxation.

Lattice parameters (Å, degrees): 6.707 8.810 9.651 90.00 90.00 90.00
Positions (direct):
Pu (0.894, 0.000, 0.732)
Pu (0.528, 0.704, 0.000)
Pu (0.528, 0.296, 0.000)
Pu (0.894, 0.000, 0.268)
Pu (0.106, 0.500, 0.232)
Pu (0.472, 0.796, 0.500)
Pu (0.472, 0.204, 0.500)
Pu (0.106, 0.500, 0.768)
Se (0.714, 0.000, 0.000)
Se (0.286, 0.500, 0.500)
Cl (0.251, 0.799, 0.794)
Cl (0.251, 0.201, 0.794)
Cl (0.852, 0.500, 0.000)
Cl (0.251, 0.799, 0.206)
Cl (0.251, 0.201, 0.206)
Cl (0.749, 0.701, 0.294)
Cl (0.749, 0.299, 0.294)
Cl (0.148, 0.000, 0.500)
Cl (0.749, 0.299, 0.706)
Cl (0.749, 0.701, 0.706)

Output
- total moment (μB/atom) = 2.50
- total DFT energy (no corrections) (eV/cell) = -169.21
- space group = No. 59



No. 5
VASP calculation (PBE) on TbPuSe2Cl after structural relaxation.

Lattice parameters (Å, degrees): 4.194 4.194 14.089 90.00 90.00 90.00
Positions (direct):
Tb (0.500, 0.000, 0.102)
Tb (0.000, 0.500, 0.898)
Pu (0.500, 0.000, 0.643)
Pu (0.000, 0.500, 0.357)
Se (0.000, 0.500, 0.701)
Se (0.000, 0.500, 0.108)
Se (0.500, 0.000, 0.892)
Se (0.500, 0.000, 0.299)
Cl (0.000, 0.000, 0.500)
Cl (0.500, 0.500, 0.500)

Output
- total moment (μB/atom) = 1.09
- total DFT energy (no corrections) (eV/cell) = -72.46
- space group = No. 129



No. 6
VASP calculation (PBE) on PuSiCl after structural relaxation.

Lattice parameters (Å, degrees): 4.680 3.213 9.814 99.42 103.79 90.00
Positions (direct):
Cl (0.691, 0.191, 0.381)
Cl (0.309, 0.809, 0.619)
Si (0.750, 0.500, 0.000)
Si (0.250, 0.500, 0.000)
Pu (0.145, 0.645, 0.289)
Pu (0.855, 0.355, 0.711)

Output
- total moment (μB/atom) = 2.05
- total DFT energy (no corrections) (eV/cell) = -46.57
- space group = No. 71



No. 7
VASP calculation (PBE) on PuSiCl after structural relaxation.

Lattice parameters (Å, degrees): 4.009 4.009 10.939 90.11 100.44 120.01
Positions (direct):
Pu (0.876, 0.437, 0.313)
Pu (0.124, 0.563, 0.687)
Si (0.322, 0.161, 0.483)
Si (0.678, 0.839, 0.517)
Cl (0.559, 0.281, 0.840)
Cl (0.441, 0.719, 0.160)

Output
- total moment (μB/atom) = 1.78
- total DFT energy (no corrections) (eV/cell) = -49.89
- space group = No. 12



No. 8
VASP calculation (PBE) on Sm2PuCl after structural relaxation.

Lattice parameters (Å, degrees): 3.609 3.609 10.223 79.83 79.83 60.00
Positions (direct):
Cl (0.000, 0.000, 0.000)
Sm (0.741, 0.741, 0.776)
Sm (0.259, 0.259, 0.224)
Pu (0.500, 0.500, 0.500)

Output
- total moment (μB/atom) = 1.51
- total DFT energy (no corrections) (eV/cell) = -27.98
- space group = No. 166